Below is a relaxed Ca2YCS crystal, with properties calculated at the PBE level.

abc: 4.655 4.655 6.134
angles: 90.00 90.00 90.00
Space group P4/mmm (No. 123)
Asymmetric unit:
Ca 0.000 0.500 0.000 (multiplicity 2)
Y 0.000 0.000 0.500 (multiplicity 1)
C 0.500 0.500 0.000 (multiplicity 1)
S 0.500 0.500 0.500 (multiplicity 1)

ρ   2.66 g cm⁻³
Formation energy (no corrections)   0.43 eV per atom

***

Below is a relaxed Ca3SbC crystal, with properties calculated at the PBE level.

abc: 4.989 4.989 4.989
angles: 90.00 90.00 90.00
Space group Pm-3m (No. 221)
Asymmetric unit:
Ca 0.000 0.000 0.500 (multiplicity 3)
Sb 0.500 0.500 0.500 (multiplicity 1)
C 0.000 0.000 0.000 (multiplicity 1)

Energy above the most stable polymorph in this dataset   0.0000 eV/atom
ρ   3.40 g cm⁻³
Formation energy (no corrections)   -0.38 eV per atom

***

Below is a relaxed CaSb3C crystal, with properties calculated at the PBE level.

abc: 4.913 4.913 4.913
angles: 90.00 90.00 90.00
Space group Pm-3m (No. 221)
Asymmetric unit:
Ca 0.000 0.000 0.000 (multiplicity 1)
Sb 0.000 0.500 0.500 (multiplicity 3)
C 0.500 0.500 0.500 (multiplicity 1)

Energy above the most stable polymorph in this dataset   0.0000 eV/atom
ρ   5.85 g cm⁻³
Formation energy (no corrections)   0.52 eV per atom

***

Below is a relaxed CaSbC3 crystal, with properties calculated at the PBE level.

abc: 4.423 4.423 4.423
angles: 90.00 90.00 90.00
Space group Pm-3m (No. 221)
Asymmetric unit:
Ca 0.000 0.000 0.000 (multiplicity 1)
Sb 0.500 0.500 0.500 (multiplicity 1)
C 0.000 0.000 0.500 (multiplicity 3)

Energy above the most stable polymorph in this dataset   1.0267 eV/atom
ρ   3.80 g cm⁻³
Formation energy (no corrections)   3.06 eV per atom

***

Below is a relaxed CaSb3C crystal, with properties calculated at the PBE level.

abc: 5.733 5.733 5.733
angles: 90.00 90.00 90.00
Space group Pm-3m (No. 221)
Asymmetric unit:
Ca 0.000 0.000 0.000 (multiplicity 1)
Sb 0.000 0.000 0.500 (multiplicity 3)
C 0.500 0.500 0.500 (multiplicity 1)

Energy above the most stable polymorph in this dataset   1.4439 eV/atom
ρ   3.68 g cm⁻³
Formation energy (no corrections)   1.97 eV per atom

***

Below is a relaxed CaSbC3 crystal, with properties calculated at the PBE level.

abc: 4.297 4.297 4.297
angles: 90.00 90.00 90.00
Space group Pm-3m (No. 221)
Asymmetric unit:
Ca 0.000 0.000 0.000 (multiplicity 1)
Sb 0.500 0.500 0.500 (multiplicity 1)
C 0.000 0.500 0.500 (multiplicity 3)

Energy above the most stable polymorph in this dataset   0.0000 eV/atom
ρ   4.14 g cm⁻³
Formation energy (no corrections)   2.04 eV per atom

***

Below is a relaxed Ca2SbC crystal, with properties calculated at the PBE level.

abc: 7.195 7.195 7.195
angles: 90.00 90.00 90.00
Space group Fm-3m (No. 225)
Asymmetric unit:
Ca 0.250 0.250 0.250 (multiplicity 8)
Sb 0.000 0.000 0.000 (multiplicity 4)
C 0.000 0.000 0.500 (multiplicity 4)

ρ   3.82 g cm⁻³
Formation energy (no corrections)   0.44 eV per atom

***

Below is a relaxed Ca2SbC crystal, with properties calculated at the PBE level.

abc: 7.842 7.842 6.190
angles: 90.00 90.00 90.00
Space group I-42d (No. 122)
Asymmetric unit:
Ca 0.167 0.750 0.125 (multiplicity 8)
Sb 0.000 0.000 0.500 (multiplicity 4)
C 0.000 0.000 0.000 (multiplicity 4)

ρ   3.73 g cm⁻³
Formation energy (no corrections)   0.29 eV per atom